The following is a DFT calculation (PBE with a Hubbard U) of an optimized crystal structure of Na2VInF6.

Values from the calculation:
The calculation puts the energy at -50.06 eV/f.u. The crystal system is triclinic. The calculation puts the density of states at the Fermi level at 0.000 states/eV/cell.

a b c (Å): 5.858 5.859 6.351
angles (deg): 62.62 62.59 60.12
Space group P1 (No. 1)
Unique sites:
Na 0.000 0.000 0.000 [1 per cell]
Na 0.478 0.478 0.573 [1 per cell]
V 0.681 0.679 0.963 [1 per cell]
In 0.210 0.210 0.373 [1 per cell]
F 0.038 0.734 0.771 [1 per cell]
F 0.318 0.639 0.191 [1 per cell]
F 0.458 0.040 0.781 [1 per cell]
F 0.642 0.846 0.197 [1 per cell]
F 0.741 0.460 0.768 [1 per cell]
F 0.846 0.319 0.197 [1 per cell]